(1)
## PrTh3P4 (PBE-GGA)

Data for PrTh3P4 after structural relaxation.

Output
Raw total energy (eV per formula unit): -61.12
Symmetry: No. 221
Formation energy (eV/atom): -1.56

Cell lengths 5.873, 5.873, 5.873 Å; angles 90.00, 90.00, 90.00 degrees
Element x y z (fractional)
Pr  0.000  0.000  0.000
Th  0.000  0.500  0.500
Th  0.500  0.000  0.500
Th  0.500  0.500  0.000
P  0.500  0.000  0.000
P  0.000  0.500  0.000
P  0.000  0.000  0.500
P  0.500  0.500  0.500



(2)
## Pr4ThP5 (PBE-GGA)

Data for Pr4ThP5 after structural relaxation.

Output
Raw total energy (eV per formula unit): -69.11
Symmetry: No. 87
Formation energy (eV/atom): -1.55

Cell lengths 5.927, 7.260, 7.260 Å; angles 80.41, 65.91, 65.91 degrees
Element x y z (fractional)
Pr  0.402  0.400  0.798
Pr  0.802  0.798  0.600
Pr  0.200  0.202  0.400
Pr  0.600  0.600  0.202
Th  0.001  0.000  0.000
P  0.903  0.393  0.803
P  0.296  0.803  0.607
P  0.706  0.197  0.393
P  0.099  0.607  0.197
P  0.501  0.000  0.000



Question: The lowest raw total energy belongs to which entry?
Answer: Pr4ThP5